1.
{"formula": "AsRu3", "functional": "PBEsol", "state": "optimized geometry", "lattice_angstrom": [[3.798, 0.000, 0.000], [0.000, 3.798, 0.000], [-1.899, -1.899, 3.743]], "species": ["Ru", "Ru", "As", "Ru"], "fractional_positions": [[0.250, 0.750, 0.500], [0.500, 0.500, 0.000], [0.000, 0.000, 0.000], [0.750, 0.250, 0.500]], "e_form_ev_per_atom": 0.131}

2.
{"formula": "SrTcPb", "functional": "PBEsol", "state": "optimized geometry", "lattice_angstrom": [[-3.080, -2.777, -0.844], [1.426, -2.659, 3.544], [-3.186, 3.317, 0.714]], "species": ["Sr", "Tc", "Pb"], "fractional_positions": [[0.000, 0.333, 0.667], [0.500, 0.667, 0.333], [0.500, 0.000, 0.000]], "e_form_ev_per_atom": 0.507}

3.
{"formula": "K5LiGe2O7", "functional": "PBEsol", "state": "optimized geometry", "lattice_angstrom": [[-3.824, -4.902, -0.178], [9.322, -3.823, -2.087], [2.443, -2.466, 15.427]], "species": ["O", "Li", "O", "O", "O", "Ge", "K", "O", "K", "K", "Ge", "Ge", "O", "O", "O", "Ge", "O", "O", "Ge", "Ge", "O", "K", "Li", "Li", "K", "O", "K", "K", "O", "K", "O", "K", "K", "O", "K", "O", "O", "K", "O", "O", "K", "O", "O", "O", "K", "O", "K", "K", "K", "O", "K", "O", "O", "Li", "O", "Ge", "Ge", "K", "K", "O"], "fractional_positions": [[0.533, 0.630, 0.367], [0.099, 0.395, 0.220], [0.436, 0.468, 0.218], [0.062, 0.611, 0.888], [0.908, 0.430, 0.717], [0.118, 0.888, 0.766], [0.332, 0.083, 0.932], [0.256, 0.195, 0.498], [0.319, 0.579, 0.057], [0.788, 0.088, 0.835], [0.618, 0.388, 0.734], [0.990, 0.255, 0.053], [0.092, 0.570, 0.283], [0.485, 0.752, 0.202], [0.756, 0.695, 0.002], [0.382, 0.612, 0.266], [0.015, 0.748, 0.702], [0.562, 0.111, 0.612], [0.510, 0.245, 0.553], [0.882, 0.112, 0.234], [0.467, 0.370, 0.633], [0.181, 0.921, 0.557], [0.401, 0.105, 0.720], [0.901, 0.605, 0.780], [0.668, 0.917, 0.068], [0.244, 0.305, 0.998], [0.326, 0.109, 0.345], [0.168, 0.417, 0.432], [0.515, 0.248, 0.798], [0.174, 0.391, 0.845], [0.239, 0.826, 0.009], [0.832, 0.583, 0.568], [0.212, 0.912, 0.165], [0.261, 0.674, 0.509], [0.674, 0.891, 0.655], [0.967, 0.870, 0.867], [0.564, 0.532, 0.782], [0.681, 0.421, 0.943], [0.408, 0.930, 0.783], [0.936, 0.968, 0.282], [0.819, 0.079, 0.443], [0.744, 0.805, 0.502], [0.739, 0.326, 0.491], [0.985, 0.252, 0.298], [0.505, 0.735, 0.870], [0.064, 0.032, 0.718], [0.495, 0.265, 0.130], [0.712, 0.412, 0.335], [0.005, 0.235, 0.630], [0.033, 0.130, 0.133], [0.288, 0.588, 0.665], [0.592, 0.070, 0.217], [0.438, 0.889, 0.388], [0.599, 0.895, 0.280], [0.761, 0.174, 0.991], [0.490, 0.755, 0.447], [0.010, 0.745, 0.947], [0.826, 0.609, 0.155], [0.995, 0.765, 0.370], [0.938, 0.389, 0.112]], "raw_formation_energy_ev_per_atom": -1.79}

4.
{"formula": "SiPBrO2", "functional": "PBEsol", "state": "optimized geometry", "lattice_angstrom": [[3.789, 0.000, 0.000], [0.000, 3.789, 0.000], [0.000, 0.000, 5.096]], "species": ["O", "O", "Br", "Si", "P"], "fractional_positions": [[0.000, 0.500, 0.000], [0.500, 0.000, 0.000], [0.000, 0.000, 0.000], [0.500, 0.500, 0.500], [0.000, 0.000, 0.500]], "raw_formation_energy_ev_per_atom": 0.70}

5.
{"formula": "FeTe2WI", "functional": "PBEsol", "state": "optimized geometry", "lattice_angstrom": [[-3.004, -3.965, -1.415], [2.997, -0.793, -4.140], [3.204, -3.495, 2.989]], "species": ["Te", "W", "Fe", "I", "Te"], "fractional_positions": [[0.500, 0.000, 0.000], [0.000, 0.000, 0.000], [0.500, 0.500, 0.500], [0.000, 0.000, 0.500], [0.000, 0.500, 0.000]], "raw_formation_energy_ev_per_atom": 1.25}

6.
{"formula": "Sc2Tl2Te", "functional": "PBEsol", "state": "optimized geometry", "lattice_angstrom": [[4.018, 0.000, 0.000], [0.000, 4.018, 0.000], [-2.009, -2.009, 7.812]], "species": ["Tl", "Sc", "Sc", "Te", "Tl"], "fractional_positions": [[0.250, 0.750, 0.500], [0.403, 0.403, 0.806], [0.597, 0.597, 0.194], [0.000, 0.000, 0.000], [0.750, 0.250, 0.500]], "raw_formation_energy_ev_per_atom": -0.28}

7.
{"formula": "HgRh2Se", "functional": "PBEsol", "state": "optimized geometry", "lattice_angstrom": [[-2.223, -1.543, -1.623], [0.906, -3.839, 2.408], [-3.213, 1.255, 3.209]], "species": ["Rh", "Se", "Rh", "Hg"], "fractional_positions": [[0.625, 0.500, 0.242], [0.625, 0.000, 0.436], [0.125, 0.000, 0.073], [0.125, 0.500, 0.748]], "raw_formation_energy_ev_per_atom": 0.04}

8.
{"formula": "GeAsIr3", "functional": "PBEsol", "state": "optimized geometry", "lattice_angstrom": [[4.546, 0.000, 0.000], [0.000, 4.546, 0.000], [0.000, 0.000, 4.546]], "species": ["Ir", "Ge", "Ir", "Ir", "As"], "fractional_positions": [[0.500, 0.000, 0.000], [0.500, 0.500, 0.500], [0.000, 0.000, 0.500], [0.000, 0.500, 0.000], [0.000, 0.000, 0.000]], "e_form_ev_per_atom": 1.183}

9.
{"formula": "PbI2", "functional": "PBEsol", "state": "optimized geometry", "lattice_angstrom": [[-0.923, -1.467, -4.172], [-2.814, -0.952, 3.403], [-3.553, 5.899, -1.288]], "species": ["I", "I", "Pb"], "fractional_positions": [[0.333, 0.667, 0.268], [0.667, 0.333, 0.732], [0.000, 0.000, 0.000]], "raw_formation_energy_ev_per_atom": -0.60}

10.
{"formula": "K2CdHg2", "functional": "PBEsol", "state": "optimized geometry", "lattice_angstrom": [[-5.131, 0.468, -1.196], [-1.882, -2.659, 7.036], [0.021, 7.251, 2.746]], "species": ["Hg", "Hg", "K", "Hg", "Hg", "K", "Cd", "K", "Cd", "K"], "fractional_positions": [[0.000, 0.135, 0.365], [0.000, 0.865, 0.635], [0.500, 0.325, 0.175], [0.000, 0.365, 0.865], [0.000, 0.635, 0.135], [0.500, 0.825, 0.325], [0.000, 0.000, 0.000], [0.500, 0.675, 0.825], [0.000, 0.500, 0.500], [0.500, 0.175, 0.675]], "e_form_ev_per_atom": -0.156}

11.
{"formula": "NbPb3Se", "functional": "PBEsol", "state": "optimized geometry", "lattice_angstrom": [[-4.630, -2.824, 0.202], [2.831, -4.611, 0.425], [-0.050, 0.468, 5.407]], "species": ["Pb", "Se", "Nb", "Pb", "Pb"], "fractional_positions": [[0.000, 0.000, 0.500], [0.500, 0.500, 0.500], [0.000, 0.000, 0.000], [0.500, 0.000, 0.000], [0.000, 0.500, 0.000]], "raw_formation_energy_ev_per_atom": 0.59}

12.
{"formula": "NaTcTeI2", "functional": "PBEsol", "state": "optimized geometry", "lattice_angstrom": [[-0.671, -4.752, 2.685], [5.289, 0.101, 1.500], [-1.378, 2.832, 4.668]], "species": ["Te", "Tc", "Na", "I", "I"], "fractional_positions": [[0.000, 0.000, 0.500], [0.500, 0.500, 0.500], [0.000, 0.000, 0.000], [0.500, 0.000, 0.000], [0.000, 0.500, 0.000]], "raw_formation_energy_ev_per_atom": 1.06}

13.
{"formula": "K2SbBr", "functional": "PBEsol", "state": "optimized geometry", "lattice_angstrom": [[-3.307, 4.264, -2.264], [-5.496, 0.743, 1.865], [-1.382, 4.668, 3.247]], "species": ["K", "K", "Br", "Sb"], "fractional_positions": [[0.750, 0.750, 0.750], [0.250, 0.250, 0.250], [0.000, 0.000, 0.000], [0.500, 0.500, 0.500]], "raw_formation_energy_ev_per_atom": -0.55}

14.
{"formula": "GaSnBi2Cl", "functional": "PBEsol", "state": "optimized geometry", "lattice_angstrom": [[-1.883, 2.144, -4.549], [2.604, -4.136, -3.027], [-4.713, -3.268, 0.410]], "species": ["Ga", "Bi", "Sn", "Cl", "Bi"], "fractional_positions": [[0.500, 0.000, 0.000], [0.000, 0.000, 0.500], [0.000, 0.000, 0.000], [0.500, 0.500, 0.500], [0.000, 0.500, 0.000]], "raw_formation_energy_ev_per_atom": 0.53}

15.
{"formula": "KRuPt2", "functional": "PBEsol", "state": "optimized geometry", "lattice_angstrom": [[4.097, 0.000, 0.000], [0.000, 4.097, 0.000], [-2.048, -2.048, 3.939]], "species": ["Pt", "Ru", "K", "Pt"], "fractional_positions": [[0.750, 0.250, 0.500], [0.500, 0.500, 0.000], [0.250, 0.750, 0.500], [0.000, 0.000, 0.000]], "e_form_ev_per_atom": 0.936}

16.
{"formula": "SiTc2P", "functional": "PBEsol", "state": "optimized geometry", "lattice_angstrom": [[2.890, 0.000, 0.000], [1.445, 2.503, 0.000], [1.445, 0.834, 7.479]], "species": ["Tc", "P", "Si", "Tc"], "fractional_positions": [[0.004, 0.004, 0.988], [0.501, 0.501, 0.496], [0.751, 0.751, 0.746], [0.243, 0.243, 0.270]], "raw_formation_energy_ev_per_atom": -0.20}

17.
{"formula": "FeSiMo", "functional": "PBEsol", "state": "optimized geometry", "lattice_angstrom": [[2.757, 0.000, 0.000], [0.000, 2.757, 0.000], [-1.379, -1.379, 4.746]], "species": ["Mo", "Fe", "Si"], "fractional_positions": [[0.335, 0.335, 0.671], [0.017, 0.017, 0.033], [0.648, 0.648, 0.296]], "raw_formation_energy_ev_per_atom": -0.37}

18.
{"formula": "BaReW2", "functional": "PBEsol", "state": "optimized geometry", "lattice_angstrom": [[3.903, 0.000, 0.000], [0.000, 3.903, 0.000], [0.000, 0.000, 5.018]], "species": ["W", "Re", "W", "Ba"], "fractional_positions": [[0.000, 0.500, 0.000], [0.000, 0.000, 0.500], [0.500, 0.000, 0.000], [0.500, 0.500, 0.500]], "e_form_ev_per_atom": 1.926}

19.
{"formula": "Ba3Fe3O8", "functional": "PBEsol", "state": "optimized geometry", "lattice_angstrom": [[5.592, 0.000, 0.000], [-2.796, 4.935, 0.000], [0.000, 0.000, 13.616]], "species": ["O", "Ba", "Fe", "O", "Fe", "O", "O", "O", "Ba", "O", "Fe", "O", "Fe", "Ba", "O", "O", "O", "O", "O", "Ba", "Fe", "O", "O", "O", "O", "Ba", "Fe", "Ba"], "fractional_positions": [[0.485, 0.970, 0.500], [0.000, 0.000, 0.500], [0.643, 0.287, 0.587], [0.047, 0.536, 0.000], [0.018, 0.037, 0.237], [0.163, 0.829, 0.827], [0.487, 0.974, 0.000], [0.832, 0.172, 0.332], [0.001, 0.003, 0.000], [0.179, 0.357, 0.835], [0.018, 0.037, 0.763], [0.832, 0.172, 0.668], [0.339, 0.677, 0.091], [0.330, 0.659, 0.339], [0.163, 0.829, 0.173], [0.950, 0.464, 0.500], [0.340, 0.172, 0.668], [0.666, 0.829, 0.827], [0.666, 0.829, 0.173], [0.666, 0.333, 0.846], [0.643, 0.287, 0.413], [0.340, 0.172, 0.332], [0.489, 0.536, 0.000], [0.514, 0.464, 0.500], [0.179, 0.357, 0.165], [0.666, 0.333, 0.154], [0.339, 0.677, 0.909], [0.330, 0.659, 0.661]], "raw_formation_energy_ev_per_atom": -1.97}

20.
{"formula": "Ca4MgAl3", "functional": "PBEsol", "state": "optimized geometry", "lattice_angstrom": [[5.791, 0.000, 0.000], [0.000, 6.116, 0.000], [0.000, 0.000, 23.999]], "species": ["Ca", "Ca", "Al", "Ca", "Ca", "Al", "Al", "Mg", "Ca", "Al", "Ca", "Ca", "Al", "Mg", "Mg", "Al", "Ca", "Al", "Al", "Ca", "Ca", "Ca", "Ca", "Ca", "Al", "Al", "Ca", "Ca", "Ca", "Al", "Mg", "Al"], "fractional_positions": [[0.750, 0.504, 0.046], [0.750, 0.242, 0.877], [0.500, 0.832, 0.250], [0.250, 0.919, 0.858], [0.750, 0.919, 0.642], [0.750, 0.415, 0.677], [0.250, 0.740, 0.576], [0.000, 0.000, 0.500], [0.250, 0.758, 0.123], [0.500, 0.168, 0.750], [0.250, 0.081, 0.358], [0.750, 0.684, 0.790], [0.000, 0.832, 0.250], [0.000, 0.000, 0.000], [0.500, 0.000, 0.500], [0.750, 0.740, 0.924], [0.250, 0.684, 0.710], [0.750, 0.260, 0.424], [0.000, 0.168, 0.750], [0.250, 0.496, 0.954], [0.250, 0.504, 0.454], [0.750, 0.316, 0.290], [0.750, 0.758, 0.377], [0.250, 0.316, 0.210], [0.750, 0.585, 0.177], [0.250, 0.260, 0.076], [0.750, 0.081, 0.142], [0.750, 0.496, 0.546], [0.250, 0.242, 0.623], [0.250, 0.585, 0.323], [0.500, 0.000, 0.000], [0.250, 0.415, 0.823]], "e_form_ev_per_atom": -0.213}

21.
{"formula": "YReO2", "functional": "PBEsol", "state": "optimized geometry", "lattice_angstrom": [[-3.929, 1.332, -1.051], [-1.229, -0.406, 4.079], [4.242, 5.291, -0.440]], "species": ["Y", "Y", "Re", "O", "O", "O", "Re", "O"], "fractional_positions": [[0.500, 0.500, 0.000], [0.750, 0.250, 0.500], [0.000, 0.000, 0.000], [0.306, 0.875, 0.250], [0.625, 0.694, 0.750], [0.125, 0.056, 0.750], [0.250, 0.750, 0.500], [0.944, 0.375, 0.250]], "raw_formation_energy_ev_per_atom": -1.35}

22.
{"formula": "BaIr2Br", "functional": "PBEsol", "state": "optimized geometry", "lattice_angstrom": [[3.487, 0.000, -0.208], [0.000, 3.482, 0.000], [-1.266, 0.000, 8.038]], "species": ["Br", "Ir", "Ba", "Ir"], "fractional_positions": [[0.681, 0.500, 0.737], [0.402, 0.500, 0.180], [0.056, 0.000, 0.486], [0.861, 0.000, 0.097]], "raw_formation_energy_ev_per_atom": -0.02}

23.
{"formula": "Ir2OsRu", "functional": "PBEsol", "state": "optimized geometry", "lattice_angstrom": [[2.692, 0.000, 0.000], [0.000, 4.660, 0.002], [-1.346, -0.778, 4.409]], "species": ["Ir", "Ir", "Os", "Ru"], "fractional_positions": [[0.249, 0.250, 0.499], [0.751, 0.750, 0.501], [0.500, 0.000, 0.000], [0.000, 0.500, 0.000]], "e_form_ev_per_atom": 0.017}

no.,magnetization (μB/cell),calculated density (g cm⁻³)
1,0.00,11.630
2,0.00,8.214
3,0.04,3.123
4,0.00,3.881
5,3.24,6.887
6,1.29,8.244
7,0.00,11.730
8,0.00,12.800
9,0.00,6.183
10,0.00,6.181
11,1.74,8.243
12,4.18,4.899
13,2.00,3.280
14,0.00,6.005
15,0.01,13.319
16,0.00,7.831
17,0.00,8.277
18,0.00,15.014
19,20.04,6.254
20,0.00,2.075
21,0.00,9.152
22,0.00,10.334
23,0.00,20.284